1.
TbSmTlAg: relaxed, PBE-GGA.

Results
**ΔH_f (0 K)**: -0.33 eV/atom
**Space group**: F-43m, No. 216
**Uncorrected energy**: -15.888 eV per cell
**Size of the total moment**: 0.08 μB per atom

Lattice parameters (Å, degrees): 5.3286 5.3286 5.3286 60.00 60.00 60.00
With the nearest neighbours (Å) after each atom.
Fractional positions:
Ag (0.2500, 0.2500, 0.2500)  4 Tb 3.26, 4 Sm 3.26
Sm (0.5000, 0.5000, 0.5000)  4 Tl 3.26, 4 Ag 3.26
Tl (0.7500, 0.7500, 0.7500)  4 Sm 3.26, 4 Tb 3.26
Tb (0.0000, 0.0000, 0.0000)  4 Tl 3.26, 4 Ag 3.26

***

2.
Tb2SmTl2Ag2: relaxed, PBE-GGA.

Results
**ΔH_f (0 K)**: -0.17 eV/atom
**Space group**: R-3m, No. 166
**Uncorrected energy**: -25.610 eV per cell
**Size of the total moment**: 0.00 μB per atom

Lattice parameters (Å, degrees): 4.9307 4.9307 9.1379 74.35 74.35 60.00
With the nearest neighbours (Å) after each atom.
Fractional positions:
Tl (0.2644, 0.2644, 0.2068)  3 Ag 2.96, 3 Tb 3.30
Tl (0.7356, 0.7356, 0.7932)  3 Ag 2.96, 3 Tb 3.30
Tb (0.8672, 0.8672, 0.3984)  3 Ag 2.97, 3 Tl 3.30
Tb (0.1328, 0.1328, 0.6016)  3 Ag 2.97, 3 Tl 3.30
Ag (0.4337, 0.4337, 0.6988)  3 Tl 2.96, 3 Tb 2.97
Ag (0.5663, 0.5663, 0.3012)  3 Tl 2.96, 3 Tb 2.97
Sm (0.0000, 0.0000, 0.0000)  6 Tl 3.37, 2 Tb 3.46

***

3.
TbSm2Tl2Ag2: relaxed, PBE-GGA.

Results
**ΔH_f (0 K)**: -0.18 eV/atom
**Space group**: R-3m, No. 166
**Uncorrected energy**: -25.794 eV per cell
**Size of the total moment**: 0.00 μB per atom

Lattice parameters (Å, degrees): 4.9043 4.9043 9.5208 75.07 75.07 60.00
With the nearest neighbours (Å) after each atom.
Fractional positions:
Ag (0.6082, 0.6082, 0.1753)  3 Tl 2.86
Ag (0.3918, 0.3918, 0.8247)  3 Tl 2.86
Sm (0.1245, 0.1245, 0.6265)  3 Tl 3.17, 3 Ag 3.36, 1 Tb 3.40
Sm (0.8755, 0.8755, 0.3735)  3 Tl 3.17, 3 Ag 3.36, 1 Tb 3.40
Tl (0.7391, 0.7391, 0.7827)  3 Ag 2.86, 3 Sm 3.17
Tl (0.2609, 0.2609, 0.2173)  3 Ag 2.86, 3 Sm 3.17
Tb (0.0000, 0.0000, 0.0000)  6 Ag 3.25, 2 Sm 3.40, 6 Tl 3.45

***

4.
TbSmTmAg: relaxed, PBE-GGA.

Results
**ΔH_f (0 K)**: -0.13 eV/atom
**Space group**: P4mm, No. 99
**Uncorrected energy**: -17.208 eV per cell
**Relative energy among the computed polymorphs**: 0 meV/atom
**Size of the total moment**: 0.00 μB per atom

Lattice parameters (Å, degrees): 3.5779 3.5779 8.8385 90.00 90.00 90.00
With the nearest neighbours (Å) after each atom.
Fractional positions:
Tm (0.5000, 0.5000, 0.3628)  4 Ag 3.09
Sm (0.0000, 0.0000, 0.0754)  4 Sm 3.58, 4 Tm 3.58, 4 Tb 3.61
Ag (0.0000, 0.0000, 0.5632)  4 Tm 3.09, 4 Tb 3.19
Tb (0.5000, 0.5000, 0.7833)  4 Ag 3.19